! CeScGa, relaxed, DFT PBE; values from VASP
&SYSTEM
  ibrav = 0, nat = 3, ntyp = 3
/
ATOMIC_SPECIES
Ce 140.12 Ce.upf
Sc 44.96 Sc.upf
Ga 69.72 Ga.upf
CELL_PARAMETERS angstrom
4.985 0.000 0.000
-2.492 4.317 0.000
0.000 0.000 2.961
ATOMIC_POSITIONS crystal
Ce 0.000 0.000 0.000
Sc 0.667 0.333 0.998
Ga 0.333 0.667 0.500
! E_tot in eV/atom: -5.196
! Energy above the lowest structure with this stoichiometry in meV/atom: 302.6
! ΔE_f in meV/atom: -98

=====

! CeSc2Ga, relaxed, DFT PBE; values from VASP
&SYSTEM
  ibrav = 0, nat = 4, ntyp = 3
/
ATOMIC_SPECIES
Ce 140.12 Ce.upf
Sc 44.96 Sc.upf
Ga 69.72 Ga.upf
CELL_PARAMETERS angstrom
3.260 0.000 0.000
0.000 3.260 0.000
0.000 0.000 8.480
ATOMIC_POSITIONS crystal
Ce 0.000 0.000 0.000
Sc 0.500 0.500 0.289
Sc 0.500 0.500 0.711
Ga 0.000 0.000 0.500
! E_tot in eV/atom: -5.693
! Energy above the lowest structure with this stoichiometry in meV/atom: 0.0
! ΔE_f in meV/atom: -287

=====

! CeScGa, relaxed, DFT PBE; values from VASP
&SYSTEM
  ibrav = 0, nat = 6, ntyp = 3
/
ATOMIC_SPECIES
Ce 140.12 Ce.upf
Sc 44.96 Sc.upf
Ga 69.72 Ga.upf
CELL_PARAMETERS angstrom
2.066 -7.400 0.000
2.066 7.400 0.000
0.000 0.000 4.512
ATOMIC_POSITIONS crystal
Ce 0.060 0.940 0.750
Ce 0.940 0.060 0.250
Sc 0.243 0.757 0.250
Sc 0.757 0.243 0.750
Ga 0.387 0.613 0.750
Ga 0.613 0.387 0.250
! E_tot in eV/atom: -5.497
! Energy above the lowest structure with this stoichiometry in meV/atom: 1.5
! ΔE_f in meV/atom: -399

=====

! Ce2ScGa2, relaxed, DFT PBE; values from VASP
&SYSTEM
  ibrav = 0, nat = 10, ntyp = 3
/
ATOMIC_SPECIES
Ce 140.12 Ce.upf
Sc 44.96 Sc.upf
Ga 69.72 Ga.upf
CELL_PARAMETERS angstrom
6.126 0.000 0.000
0.000 3.393 0.000
-0.341 0.000 11.540
ATOMIC_POSITIONS crystal
Ce 0.101 0.250 0.171
Ce 0.261 0.250 0.402
Ce 0.739 0.750 0.598
Ce 0.899 0.750 0.829
Sc 0.415 0.250 0.790
Sc 0.585 0.750 0.210
Ga 0.230 0.750 0.620
Ga 0.327 0.750 0.987
Ga 0.673 0.250 0.013
Ga 0.770 0.250 0.380
! E_tot in eV/atom: -5.136
! Energy above the lowest structure with this stoichiometry in meV/atom: 138.3
! ΔE_f in meV/atom: -286

=====

! Ce2ScGa2, relaxed, DFT PBE; values from VASP
&SYSTEM
  ibrav = 0, nat = 10, ntyp = 3
/
ATOMIC_SPECIES
Ce 140.12 Ce.upf
Sc 44.96 Sc.upf
Ga 69.72 Ga.upf
CELL_PARAMETERS angstrom
7.480 0.000 0.000
0.000 7.480 0.000
0.000 0.000 4.423
ATOMIC_POSITIONS crystal
Ce 0.170 0.330 0.000
Ce 0.330 0.830 0.000
Ce 0.670 0.170 0.000
Ce 0.830 0.670 0.000
Sc 0.000 0.000 0.500
Sc 0.500 0.500 0.500
Ga 0.127 0.627 0.500
Ga 0.373 0.127 0.500
Ga 0.627 0.873 0.500
Ga 0.873 0.373 0.500
! E_tot in eV/atom: -5.274
! Energy above the lowest structure with this stoichiometry in meV/atom: 0.0
! ΔE_f in meV/atom: -424

=====

! CeScGa, relaxed, DFT PBE; values from VASP
&SYSTEM
  ibrav = 0, nat = 6, ntyp = 3
/
ATOMIC_SPECIES
Ce 140.12 Ce.upf
Sc 44.96 Sc.upf
Ga 69.72 Ga.upf
CELL_PARAMETERS angstrom
2.316 1.337 7.737
-2.316 1.337 7.737
0.000 -2.674 7.737
ATOMIC_POSITIONS crystal
Ce 0.141 0.141 0.141
Ce 0.859 0.859 0.859
Sc 0.292 0.292 0.292
Sc 0.708 0.708 0.708
Ga 0.416 0.416 0.416
Ga 0.584 0.584 0.584
! E_tot in eV/atom: -5.368
! Energy above the lowest structure with this stoichiometry in meV/atom: 129.6
! ΔE_f in meV/atom: -271

=====

! CeScGaSi, relaxed, DFT PBE; values from VASP
&SYSTEM
  ibrav = 0, nat = 4, ntyp = 4
/
ATOMIC_SPECIES
Ce 140.12 Ce.upf
Sc 44.96 Sc.upf
Ga 69.72 Ga.upf
Si 28.09 Si.upf
CELL_PARAMETERS angstrom
0.000 3.474 3.474
3.474 0.000 3.474
3.474 3.474 0.000
ATOMIC_POSITIONS crystal
Ce 0.000 0.000 0.000
Sc 0.500 0.500 0.500
Ga 0.750 0.750 0.750
Si 0.250 0.250 0.250
! E_tot in eV/atom: -5.669
! Energy relative to the elements, uncorrected in kcal/mol of atoms: -11.3

=====

! CeScGaTc, relaxed, DFT PBE; values from VASP
&SYSTEM
  ibrav = 0, nat = 4, ntyp = 4
/
ATOMIC_SPECIES
Ce 140.12 Ce.upf
Sc 44.96 Sc.upf
Ga 69.72 Ga.upf
Tc 98.00 Tc.upf
CELL_PARAMETERS angstrom
0.000 3.425 3.425
3.425 0.000 3.425
3.425 3.425 0.000
ATOMIC_POSITIONS crystal
Ce 0.000 0.000 0.000
Sc 0.500 0.500 0.500
Ga 0.250 0.250 0.250
Tc 0.750 0.750 0.750
! E_tot in eV/atom: -6.699
! ΔE_f in meV/atom: -284

=====

! CeScTiGa, relaxed, DFT PBE; values from VASP
&SYSTEM
  ibrav = 0, nat = 4, ntyp = 4
/
ATOMIC_SPECIES
Ce 140.12 Ce.upf
Sc 44.96 Sc.upf
Ti 47.87 Ti.upf
Ga 69.72 Ga.upf
CELL_PARAMETERS angstrom
0.000 3.481 3.481
3.481 0.000 3.481
3.481 3.481 0.000
ATOMIC_POSITIONS crystal
Ce 0.000 0.000 0.000
Sc 0.500 0.500 0.500
Ti 0.250 0.250 0.250
Ga 0.750 0.750 0.750
! E_tot in eV/atom: -5.926
! ΔE_f in meV/atom: -129

=====

! CeTmScGa, relaxed, DFT PBE; values from VASP
&SYSTEM
  ibrav = 0, nat = 4, ntyp = 4
/
ATOMIC_SPECIES
Ce 140.12 Ce.upf
Tm 168.93 Tm.upf
Sc 44.96 Sc.upf
Ga 69.72 Ga.upf
CELL_PARAMETERS angstrom
0.000 3.662 3.662
3.662 0.000 3.662
3.662 3.662 0.000
ATOMIC_POSITIONS crystal
Ce 0.000 0.000 0.000
Tm 0.500 0.500 0.500
Sc 0.250 0.250 0.250
Ga 0.750 0.750 0.750
! E_tot in eV/atom: -5.071
! ΔE_f in meV/atom: -130

=====

! CeScZn2Ga2, relaxed, DFT PBE; values from VASP
&SYSTEM
  ibrav = 0, nat = 6, ntyp = 4
/
ATOMIC_SPECIES
Ce 140.12 Ce.upf
Sc 44.96 Sc.upf
Zn 65.41 Zn.upf
Ga 69.72 Ga.upf
CELL_PARAMETERS angstrom
4.366 0.000 0.000
-2.183 3.781 0.000
0.000 0.000 7.152
ATOMIC_POSITIONS crystal
Ce 0.000 0.000 0.000
Sc 0.000 0.000 0.500
Zn 0.333 0.667 0.706
Zn 0.667 0.333 0.294
Ga 0.333 0.667 0.272
Ga 0.667 0.333 0.728
! E_tot in eV/atom: -3.977
! ΔE_f in meV/atom: -499

=====

! CeScZnGa, relaxed, DFT PBE; values from VASP
&SYSTEM
  ibrav = 0, nat = 4, ntyp = 4
/
ATOMIC_SPECIES
Ce 140.12 Ce.upf
Sc 44.96 Sc.upf
Zn 65.41 Zn.upf
Ga 69.72 Ga.upf
CELL_PARAMETERS angstrom
0.000 3.498 3.498
3.498 0.000 3.498
3.498 3.498 0.000
ATOMIC_POSITIONS crystal
Ce 0.000 0.000 0.000
Sc 0.500 0.500 0.500
Zn 0.750 0.750 0.750
Ga 0.250 0.250 0.250
! E_tot in eV/atom: -4.562
! ΔE_f in meV/atom: -420

=====

! Ce2GaSe, relaxed, DFT PBE; values from VASP
&SYSTEM
  ibrav = 0, nat = 16, ntyp = 3
/
ATOMIC_SPECIES
Ce 140.12 Ce.upf
Ga 69.72 Ga.upf
Se 78.96 Se.upf
CELL_PARAMETERS angstrom
5.981 0.000 0.000
0.000 5.981 0.000
0.000 0.000 12.024
ATOMIC_POSITIONS crystal
Ce 0.000 0.249 0.121
Ce 0.000 0.251 0.629
Ce 0.000 0.749 0.371
Ce 0.000 0.751 0.879
Ce 0.500 0.249 0.379
Ce 0.500 0.251 0.871
Ce 0.500 0.749 0.129
Ce 0.500 0.751 0.621
Ga 0.000 0.249 0.375
Ga 0.000 0.751 0.625
Ga 0.500 0.249 0.125
Ga 0.500 0.751 0.875
Se 0.000 0.251 0.875
Se 0.000 0.749 0.125
Se 0.500 0.251 0.625
Se 0.500 0.749 0.375
! E_tot in eV/atom: -5.647
! Energy relative to the elements, uncorrected in kcal/mol of atoms: -24.3
! Energy above the lowest structure with this stoichiometry in meV/atom: 67.9